1.
A relaxed AlZn2In crystal. Source: Alexandria, functional PBE.

Results
Symmetry   No. 225
Crystal system   cubic
E above lowest polymorph   0.0891 eV per atom
N(E_F)   1.67 states/eV/cell

Cell and atoms, written as POSCAR:
```
AlZn2In
1.0
0.0000 3.3701 3.3701
3.3701 0.0000 3.3701
3.3701 3.3701 0.0000
Al Zn In
1 2 1
Cartesian
0.0000 0.0000 0.0000 Al
1.6850 1.6850 1.6850 Zn
5.0551 5.0551 5.0551 Zn
3.3701 3.3701 3.3701 In
```

2.
A relaxed Pr2HfThP4 crystal. Source: Alexandria, functional PBE.

Results
Symmetry   No. 10
Crystal system   monoclinic
N(E_F)   3.75 states/eV/cell

Cell and atoms, written as POSCAR:
```
Pr2HfThP4
1.0
7.0038 0.0000 0.0000
0.0000 4.0531 0.0000
-2.3308 0.0000 6.6729
Pr Hf Th P
2 1 1 4
Cartesian
0.0000 0.0000 0.0000 Pr
3.5019 2.0265 0.0000 Pr
-1.1654 2.0265 3.3364 Hf
2.3365 0.0000 3.3364 Th
-0.0944 0.0000 4.8386 P
1.0593 2.0265 1.7749 P
3.6136 2.0265 4.8980 P
4.7674 0.0000 1.8343 P
```

3.
A relaxed Ba4SrAc2 crystal. Source: Alexandria, functional PBE.

Results
Symmetry   No. 139
Crystal system   tetragonal
E above lowest polymorph   0.4746 eV per atom
N(E_F)   15.08 states/eV/cell

Cell and atoms, written as POSCAR:
```
Ba4SrAc2
1.0
-3.3248 3.3248 10.0173
3.3248 -3.3248 10.0173
3.3248 3.3248 -10.0173
Ba Sr Ac
4 1 2
Cartesian
3.3248 0.0000 0.0000 Ba
0.0000 0.0000 3.7539 Ba
0.0000 3.3248 0.0000 Ba
0.0000 0.0000 16.2806 Ba
0.0000 0.0000 0.0000 Sr
0.0000 0.0000 7.9980 Ac
0.0000 0.0000 12.0365 Ac
```

4.
A relaxed YCrRu2 crystal. Source: Alexandria, functional PBE.

Results
Symmetry   No. 44
Crystal system   orthorhombic
E above lowest polymorph   0.1853 eV per atom
N(E_F)   4.26 states/eV/cell

Cell and atoms, written as POSCAR:
```
YCrRu2
1.0
-1.5562 2.2885 4.7827
1.5562 -2.2885 4.7827
1.5562 2.2885 -4.7827
Y Cr Ru
1 1 2
Cartesian
0.0000 0.0000 0.0000 Y
1.5562 0.0000 2.6410 Cr
0.0000 0.0000 4.8356 Ru
0.0000 2.2885 2.2373 Ru
```

Result set for ΔH_f (0 K): 174.2, -1428.9, 520.4, 207.7 meV/atom, one per record in the order listed.
Result set for spin magnetization: 0.0, 0.0, 0.0, 3.1 μB/cell, one per record in the order listed.